Entry from Alexandria: an optimized crystal structure of Ca7Ti8S16 (PBE-GGA).

a b c (Å): 7.2277 7.2277 13.2362
angles (deg): 90.00 90.00 120.00
With the nearest neighbours (Å) after each atom.
Positions (direct):
Ca 0.0000 0.0000 0.0000  6 S 2.81
Ca 0.0000 0.5000 0.0000  6 S 2.71-2.82
Ca 0.0000 0.5000 0.5000  6 S 2.78-2.86
Ca 0.5000 0.0000 0.0000  6 S 2.71-2.82
Ca 0.5000 0.0000 0.5000  6 S 2.78-2.86
Ca 0.5000 0.5000 0.0000  6 S 2.71-2.82
Ca 0.5000 0.5000 0.5000  6 S 2.78-2.86
Ti 0.0000 0.0000 0.2523  6 S 2.54
Ti 0.0000 0.0000 0.7477  6 S 2.54
Ti 0.0378 0.5189 0.2498  6 S 2.43-2.69
Ti 0.4811 0.5189 0.2498  6 S 2.43-2.69
Ti 0.4811 0.9622 0.2498  6 S 2.43-2.69
Ti 0.5189 0.0378 0.7502  6 S 2.43-2.69
Ti 0.5189 0.4811 0.7502  6 S 2.43-2.69
Ti 0.9622 0.4811 0.7502  6 S 2.43-2.69
S 0.1665 0.3331 0.8572  3 Ti 2.54-2.63, 3 Ca 2.81-2.82
S 0.1668 0.3335 0.3614  3 Ti 2.47-2.54
S 0.1668 0.8332 0.3614  3 Ti 2.47-2.54
S 0.1665 0.8335 0.8572  3 Ti 2.54-2.63, 3 Ca 2.81-2.82
S 0.3331 0.1665 0.1428  3 Ti 2.54-2.63, 3 Ca 2.81-2.82
S 0.3333 0.6667 0.1306  3 Ti 2.43, 3 Ca 2.71
S 0.3333 0.6667 0.6479  3 Ti 2.69, 3 Ca 2.86
S 0.3335 0.1668 0.6386  3 Ti 2.47-2.54
S 0.6665 0.8332 0.3614  3 Ti 2.47-2.54
S 0.6667 0.3333 0.3521  3 Ti 2.69, 3 Ca 2.86
S 0.6667 0.3333 0.8694  3 Ti 2.43, 3 Ca 2.71
S 0.6669 0.8335 0.8572  3 Ti 2.54-2.63, 3 Ca 2.81-2.82
S 0.8335 0.1665 0.1428  3 Ti 2.54-2.63, 3 Ca 2.81-2.82
S 0.8332 0.1668 0.6386  3 Ti 2.47-2.54
S 0.8332 0.6665 0.6386  3 Ti 2.47-2.54
S 0.8335 0.6669 0.1428  3 Ti 2.54-2.63, 3 Ca 2.81-2.82

SG	No. 164
uncorrected energy	-6.19	eV per atom
formation energy (no corrections)	-48.60	eV per formula unit